1.
PBE Ca2Zn15Ru2, optimized geometry; formation energy from the elements = -0.1423 eV/atom
1.0
-6.526 1.725 -0.767
-2.303 -3.226 5.518
0.132 5.379 4.148
Ca Zn Ru
2 15 2
direct
0.661 0.661 0.661 Ca
0.339 0.339 0.339 Ca
0.287 0.000 0.713 Zn
0.000 0.287 0.713 Zn
0.000 0.713 0.287 Zn
0.347 0.855 0.347 Zn
0.713 0.000 0.287 Zn
0.145 0.653 0.653 Zn
0.000 0.000 0.500 Zn
0.347 0.347 0.855 Zn
0.287 0.713 0.000 Zn
0.653 0.145 0.653 Zn
0.855 0.347 0.347 Zn
0.500 0.000 0.000 Zn
0.000 0.500 0.000 Zn
0.653 0.653 0.145 Zn
0.713 0.287 0.000 Zn
0.902 0.902 0.902 Ru
0.098 0.098 0.098 Ru



2.
PBE CaZn2Ru, optimized geometry; formation energy from the elements = 0.0779 eV/atom
1.0
3.842 0.000 0.000
0.000 3.323 0.093
0.000 1.553 6.077
Ru Ca Zn
1 1 2
direct
0.500 0.761 0.859 Ru
0.000 0.435 0.492 Ca
0.000 0.217 0.946 Zn
0.500 0.086 0.202 Zn



3.
PBE CaZn4Ru, optimized geometry; formation energy from the elements = -0.0747 eV/atom
1.0
-3.972 -1.303 3.014
-1.198 2.907 4.084
-4.300 2.841 -0.032
Zn Ru Ca
4 1 1
direct
0.374 0.879 0.374 Zn
0.374 0.374 0.879 Zn
0.374 0.374 0.374 Zn
0.879 0.374 0.374 Zn
0.000 0.000 0.000 Ru
0.750 0.750 0.750 Ca



no.,mass density (g/cm³),total moment (μB per cell)
1,6.813,0.00
2,5.863,0.00
3,6.909,0.00